1.
# LiDy2Nb, relaxed, DFT PBE-GGA
# Mass density = 7.0 g cm⁻³
# Spin magnetization = 0.000 μB/cell
# Formation energy from the elements = 0.21 eV/atom
data_LiDy2Nb
_cell_length_a 3.3780
_cell_length_b 3.3780
_cell_length_c 8.8073
_cell_angle_alpha 90.00
_cell_angle_beta 90.00
_cell_angle_gamma 90.00
_symmetry_space_group_name_H-M 'P 4/m m m'
_symmetry_Int_Tables_number 123
_symmetry_space_group_name_Hall '-P 4 2'
loop_
_atom_site_label
_atom_site_fract_x
_atom_site_fract_y
_atom_site_fract_z
Li1 0.0000 0.0000 0.0000
Dy1 0.5000 0.5000 0.2699
Nb1 0.0000 0.0000 0.5000

2.
# CsTl7Pb5, relaxed, DFT PBE-GGA
# Mass density = 9.7 g cm⁻³
# Spin magnetization = 0.000 μB/cell
# Formation energy from the elements = -0.02 eV/atom
data_CsTl7Pb5
_cell_length_a 6.7314
_cell_length_b 11.5109
_cell_length_c 11.4672
_cell_angle_alpha 90.00
_cell_angle_beta 90.00
_cell_angle_gamma 90.00
_symmetry_space_group_name_H-M 'I m m 2'
_symmetry_Int_Tables_number 44
_symmetry_space_group_name_Hall 'I 2 -2'
loop_
_atom_site_label
_atom_site_fract_x
_atom_site_fract_y
_atom_site_fract_z
Cs1 0.0000 0.0000 0.0000
Tl1 0.0000 0.0000 0.3602
Tl2 0.0000 0.0000 0.6460
Tl3 0.0000 0.2871 0.5020
Tl4 0.0000 0.3561 0.9968
Tl5 0.0000 0.5000 0.2765
Pb1 0.0000 0.5000 0.7182
Pb2 0.2496 0.2485 0.2514

3.
# PaTlCuSe4, relaxed, DFT PBE-GGA
# Mass density = 7.4 g cm⁻³
# Energy relative to the elements, uncorrected = -0.838 eV per atom
# Spin magnetization = 0.000 μB/cell
data_PaTlCuSe4
_cell_length_a 7.0468
_cell_length_b 5.7648
_cell_length_c 9.4411
_cell_angle_alpha 90.00
_cell_angle_beta 107.69
_cell_angle_gamma 90.00
_symmetry_space_group_name_H-M 'P 1 21/m 1'
_symmetry_Int_Tables_number 11
_symmetry_space_group_name_Hall '-P 2yb'
loop_
_atom_site_label
_atom_site_fract_x
_atom_site_fract_y
_atom_site_fract_z
Pa1 0.2319 0.2500 0.4436
Tl1 0.2388 0.2500 0.9490
Cu1 0.2374 0.7500 0.6703
Se1 0.0414 0.7500 0.8366
Se2 0.0690 0.7500 0.4089
Se3 0.4812 0.5090 0.2986

4.
# Sm3Dy6Ho2Sc, relaxed, DFT PBE-GGA
# Mass density = 8.0 g cm⁻³
# Spin magnetization = 0.000 μB/cell
# Formation energy from the elements = 0.03 eV/atom
data_Sm3Dy6Ho2Sc
_cell_length_a 6.1337
_cell_length_b 10.6158
_cell_length_c 11.7188
_cell_angle_alpha 90.00
_cell_angle_beta 100.00
_cell_angle_gamma 90.00
_symmetry_space_group_name_H-M 'C 1 2/m 1'
_symmetry_Int_Tables_number 12
_symmetry_space_group_name_Hall '-C 2y'
loop_
_atom_site_label
_atom_site_fract_x
_atom_site_fract_y
_atom_site_fract_z
Sm1 0.0000 0.0000 0.0000
Sm2 0.0000 0.3335 0.0000
Dy1 0.2470 0.3345 0.7448
Dy2 0.2494 0.5000 0.2550
Ho1 0.0000 0.1665 0.5000
Sc1 0.0000 0.5000 0.5000

5.
# Pa2NbIn, relaxed, DFT PBE-GGA
# Mass density = 11.5 g cm⁻³
# Spin magnetization = 0.000 μB/cell
# Formation energy from the elements = 0.27 eV/atom
data_Pa2NbIn
_cell_length_a 7.2916
_cell_length_b 7.2916
_cell_length_c 7.2916
_cell_angle_alpha 90.00
_cell_angle_beta 90.00
_cell_angle_gamma 90.00
_symmetry_space_group_name_H-M 'F m -3 m'
_symmetry_Int_Tables_number 225
_symmetry_space_group_name_Hall '-F 4 2 3'
loop_
_atom_site_label
_atom_site_fract_x
_atom_site_fract_y
_atom_site_fract_z
Pa1 0.2500 0.2500 0.2500
Nb1 0.0000 0.0000 0.0000
In1 0.0000 0.0000 0.5000

6.
# SnMo3, relaxed, DFT PBE-GGA
# Mass density = 10.1 g cm⁻³
# Spin magnetization = 0.000 μB/cell
# Formation energy from the elements = 0.04 eV/atom
data_SnMo3
_cell_length_a 5.1200
_cell_length_b 5.1200
_cell_length_c 5.1200
_cell_angle_alpha 90.00
_cell_angle_beta 90.00
_cell_angle_gamma 90.00
_symmetry_space_group_name_H-M 'P m -3 n'
_symmetry_Int_Tables_number 223
_symmetry_space_group_name_Hall '-P 4n 2 3'
loop_
_atom_site_label
_atom_site_fract_x
_atom_site_fract_y
_atom_site_fract_z
Sn1 0.0000 0.0000 0.0000
Mo1 0.0000 0.2500 0.5000

7.
# BeNiPCl2, relaxed, DFT PBE-GGA
# Mass density = 3.1 g cm⁻³
# Energy relative to the elements, uncorrected = 0.451 eV per atom
# Spin magnetization = 0.008 μB/cell
data_BeNiPCl2
_cell_length_a 4.0316
_cell_length_b 4.0316
_cell_length_c 5.5898
_cell_angle_alpha 90.00
_cell_angle_beta 90.00
_cell_angle_gamma 90.00
_symmetry_space_group_name_H-M 'P 4/m m m'
_symmetry_Int_Tables_number 123
_symmetry_space_group_name_Hall '-P 4 2'
loop_
_atom_site_label
_atom_site_fract_x
_atom_site_fract_y
_atom_site_fract_z
Be1 0.0000 0.0000 0.0000
Ni1 0.5000 0.5000 0.5000
P1 0.0000 0.0000 0.5000
Cl1 0.0000 0.5000 0.0000

8.
# NiOsAu, relaxed, DFT PBE-GGA
# Mass density = 17.0 g cm⁻³
# Spin magnetization = 0.000 μB/cell
# Formation energy from the elements = 0.13 eV/atom
data_NiOsAu
_cell_length_a 2.7446
_cell_length_b 2.7446
_cell_length_c 11.5333
_cell_angle_alpha 90.00
_cell_angle_beta 90.00
_cell_angle_gamma 90.00
_symmetry_space_group_name_H-M 'P 4/n m m'
_symmetry_Int_Tables_number 129
loop_
_symmetry_equiv_pos_as_xyz
'x,y,z'
'-x,-y,-z'
'-y+1/2,x,z'
'y+1/2,-x,-z'
'-x+1/2,-y+1/2,z'
'x+1/2,y+1/2,-z'
'y,-x+1/2,z'
'-y,x+1/2,-z'
'x+1/2,-y,-z'
'-x+1/2,y,z'
'-y,-x,-z'
'y,x,z'
'-x,y+1/2,-z'
'x,-y+1/2,z'
'y+1/2,x+1/2,-z'
'-y+1/2,-x+1/2,z'
loop_
_atom_site_label
_atom_site_fract_x
_atom_site_fract_y
_atom_site_fract_z
Ni1 0.2500 0.2500 0.2307
Os1 0.2500 0.2500 0.9194
Au1 0.2500 0.2500 0.6013